DFT (PBE) results for Li2FePt5 after structural relaxation.

Cell: 5.4139 5.4140 5.2731 Å, 105.47 105.47 118.71°
Closest atoms and distances in Å follow each position.
Fractional coordinates of all 8 atoms:
1 Li 0.2490 0.8090 0.5026  9 Pt 2.68-2.84, 2 Li 2.76, 1 Fe 2.86
2 Li 0.7464 0.3065 0.4974  9 Pt 2.68-2.84, 2 Li 2.76, 1 Fe 2.86
3 Fe 0.8103 0.7456 0.0000  10 Pt 2.67-2.76, 2 Li 2.86
4 Pt 0.2479 0.3080 0.5000  6 Pt 2.70-2.87, 2 Fe 2.70, 4 Li 2.71
5 Pt 0.3065 0.7503 0.0000  2 Fe 2.67-2.74, 6 Pt 2.68-2.87, 4 Li 2.68-2.70
6 Pt 0.8055 0.2492 0.0000  2 Fe 2.68-2.74, 6 Pt 2.68-2.87, 4 Li 2.68-2.70
7 Pt 0.7479 0.8080 0.5000  6 Pt 2.70-2.87, 2 Fe 2.70, 4 Li 2.71
8 Pt 0.3095 0.2464 0.0000  8 Pt 2.68-2.74, 2 Fe 2.76, 2 Li 2.84

The total magnetic moment is 3.70 μB per cell. The total energy is -45.553 eV for the cell shown. The calculated formation energy comes out at -0.38 eV/atom. The value obtained for the density is 15.025 g/cm3. The symmetry is Fmm2.